Be2Co3, relaxed, DFT GGA-PBE; ΔH_f (0 K) = -1.80 kcal/mol of atoms; DOS at the Fermi energy = 4.71 states/eV per cell; E_tot = -29.16 eV for the cell shown; energy relative to the lowest polymorph listed for this composition = 0.152 eV/atom; crystal system = trigonal
1.0
9.299 -1.219 -0.001
9.299 1.219 -0.001
9.139 0.000 2.105
Be Co
2 3
Direct
0.602 0.602 0.602
0.398 0.398 0.398
0.797 0.797 0.797
0.000 0.000 0.000
0.203 0.203 0.203